Below is a relaxed MgTc2As crystal, with properties calculated at the PBE level.

Computed properties:
- Excess energy over the best structure of this formula in the dataset: 217 meV/atom
- DFT formation energy: 189 meV per atom
- Energy: -6.56 eV per atom
- DOS at the Fermi energy: 5.2 states/eV per cell

The structure in POSCAR format:
```
MgTc2As
1.0
0.000 3.136 3.136
3.136 0.000 3.136
3.136 3.136 0.000
Mg Tc As
1 2 1
direct
0.000 0.000 0.000 Mg
0.500 0.500 0.500 Tc
0.750 0.750 0.750 Tc
0.250 0.250 0.250 As
```

***

Below is a relaxed MgTcAs crystal, with properties calculated at the PBE level.

Computed properties:
- Excess energy over the best structure of this formula in the dataset: 439 meV/atom
- DFT formation energy: 146 meV per atom
- Energy: -5.39 eV per atom
- DOS at the Fermi energy: 2.0 states/eV per cell

The structure in POSCAR format:
```
MgTcAs
1.0
0.000 2.479 6.463
1.654 0.000 6.463
1.654 2.479 0.000
Mg Tc As
1 1 1
direct
0.000 0.000 0.000 Mg
0.668 0.668 0.332 Tc
0.306 0.306 0.694 As
```

***

Below is a relaxed MgTc2As crystal, with properties calculated at the PBE level.

Computed properties:
- Excess energy over the best structure of this formula in the dataset: 135 meV/atom
- DFT formation energy: 106 meV per atom
- Energy: -6.64 eV per atom
- DOS at the Fermi energy: 4.0 states/eV per cell

The structure in POSCAR format:
```
MgTc2As
1.0
3.105 0.000 0.000
0.000 3.105 0.000
0.000 0.000 6.455
Mg Tc As
1 2 1
direct
0.000 0.000 0.000 Mg
0.500 0.500 0.290 Tc
0.500 0.500 0.710 Tc
0.000 0.000 0.500 As
```